# VRuO2F

A relaxed VRuO2F crystal (PBE with a Hubbard U, the Alexandria database).

* final energy: -30.70 eV/cell
* ρ: 5100 kg/m3

abc: 3.8538 3.8538 4.4507
angles: 90.00 90.00 90.00
With the nearest neighbours (Å) after each atom.
Space group P4/mmm (No. 123)
Symmetry-distinct sites (fractional):
1 V 0.0000 0.0000 0.0000 (multiplicity 1)  4 F 2.73, 8 O 2.94
2 Ru 0.5000 0.5000 0.5000 (multiplicity 1)  4 O 1.93
3 O 0.0000 0.5000 0.5000 (multiplicity 2)  2 Ru 1.93
4 F 0.5000 0.5000 0.0000 (multiplicity 1)  2 Ru 2.23